Compound: GaFeHgPd
Source: OQMD
Functional: GGA-PBE
Structure: relaxed

Values from the calculation:
V = 16.0 Å³/atom
E above lowest polymorph = 0.000 eV per atom
Energy = -4.154 eV per atom
M_tot = 2.52 μB per formula unit

a b c (Å): 4.490 4.490 4.490
angles (deg): 60.00 60.00 60.00
Positions (direct):
Fe: 0.750 0.750 0.750
Ga: 0.000 0.000 0.000
Hg: 0.500 0.500 0.500
Pd: 0.250 0.250 0.250